A plane-wave DFT calculation with PBE was carried out for a geometry-optimized CaMn2Cu structure.

Results
The calculation puts the electronic total energy at -5.558 eV/atom. The calculation puts the formation energy at 0.551 eV/atom. Its density of states at the Fermi level is 19.2 states/eV/cell. As for the crystal system: cubic.

Lattice parameters (Å, degrees): 6.5569 6.5569 6.5569 90.00 90.00 90.00
Space group Fm-3m (No. 225)
Inequivalent atoms, fractional coordinates:
Ca 0.0000 0.0000 0.0000 [4 per cell]
Mn 0.2500 0.2500 0.2500 [8 per cell]
Cu 0.0000 0.0000 0.5000 [4 per cell]


A plane-wave DFT calculation with PBE was carried out for a geometry-optimized K2Ga2Cu structure.

Results
The calculation puts the electronic total energy at -2.346 eV/atom. The calculation puts the formation energy at 0.123 eV/atom. Its density of states at the Fermi level is 4.3 states/eV/cell. As for the crystal system: tetragonal.

Lattice parameters (Å, degrees): 6.7296 6.7296 5.8381 90.00 90.00 90.00
Space group P4/mbm (No. 127)
Inequivalent atoms, fractional coordinates:
K 0.1861 0.3139 0.0000 [4 per cell]
Ga 0.1370 0.6370 0.5000 [4 per cell]
Cu 0.0000 0.0000 0.5000 [2 per cell]


A plane-wave DFT calculation with PBE was carried out for a geometry-optimized YAg3Mo structure.

Results
The value obtained for the energy above the most stable polymorph in this dataset is 0.000 eV/atom. The calculation puts the electronic total energy at -4.175 eV/atom. The calculation puts the formation energy at 0.994 eV/atom. Its density of states at the Fermi level is 5.5 states/eV/cell. As for the crystal system: cubic.

Lattice parameters (Å, degrees): 5.0353 5.0353 5.0353 90.00 90.00 90.00
Space group Pm-3m (No. 221)
Inequivalent atoms, fractional coordinates:
Y 0.0000 0.0000 0.0000 [1 per cell]
Ag 0.0000 0.5000 0.5000 [3 per cell]
Mo 0.5000 0.5000 0.5000 [1 per cell]


A plane-wave DFT calculation with PBE was carried out for a geometry-optimized HfVRu structure.

Results
The value obtained for the energy above the most stable polymorph in this dataset is 0.000 eV/atom. The calculation puts the electronic total energy at -9.806 eV/atom. The calculation puts the formation energy at -0.356 eV/atom. Its density of states at the Fermi level is 4.1 states/eV/cell. As for the crystal system: tetragonal.

Lattice parameters (Å, degrees): 3.1240 3.1240 9.8597 90.00 90.00 90.00
Space group I4mm (No. 107)
Inequivalent atoms, fractional coordinates:
Hf 0.0000 0.0000 0.0000 [2 per cell]
V 0.0000 0.0000 0.6800 [2 per cell]
Ru 0.0000 0.0000 0.3258 [2 per cell]


Q: What is the electronic total energy in the fourth record?
A: -9.806 eV/atom


Q: What is the electronic total energy in the second record?
A: -2.346 eV/atom


What did the second record say?
A plane-wave DFT calculation with PBE was carried out for a geometry-optimized K2Ga2Cu structure.

Results
The calculation puts the electronic total energy at -2.346 eV/atom. The calculation puts the formation energy at 0.123 eV/atom. Its density of states at the Fermi level is 4.3 states/eV/cell. As for the crystal system: tetragonal.

Lattice parameters (Å, degrees): 6.7296 6.7296 5.8381 90.00 90.00 90.00
Space group P4/mbm (No. 127)
Inequivalent atoms, fractional coordinates:
K 0.1861 0.3139 0.0000 [4 per cell]
Ga 0.1370 0.6370 0.5000 [4 per cell]
Cu 0.0000 0.0000 0.5000 [2 per cell]


Q: Among the records above, which one has the highest electronic total energy?
A: K2Ga2Cu